LaReBi2 after structural relaxation, computed with PBE.

Lattice parameters (Å, degrees): 7.343 7.343 7.343 90.00 90.00 90.00
Element x y z (fractional)
La1 0.000 0.000 0.000
La2 0.000 0.500 0.500
La3 0.500 0.000 0.500
La4 0.500 0.500 0.000
Re1 0.000 0.000 0.500
Re2 0.000 0.500 0.000
Re3 0.500 0.000 0.000
Re4 0.500 0.500 0.500
Bi1 0.250 0.250 0.250
Bi2 0.250 0.250 0.750
Bi3 0.250 0.750 0.250
Bi4 0.250 0.750 0.750
Bi5 0.750 0.250 0.250
Bi6 0.750 0.250 0.750
Bi7 0.750 0.750 0.250
Bi8 0.750 0.750 0.750

Computed properties:
total DFT energy (no corrections) = -6.030 eV per atom
N(E_F) = 0.214 states/eV per atom
DFT formation energy = 0.25 eV/atom
ΔE to the lowest computed polymorph = 0 meV/atom